## Na2TcTeO6 (PBE-GGA)

Data for crystalline Na2TcTeO6 at its relaxed geometry.

a b c (Å): 5.545 5.545 5.545
angles (deg): 60.00 60.00 60.00
Positions (direct):
O 0.747 0.253 0.253
O 0.253 0.253 0.747
O 0.253 0.747 0.747
O 0.747 0.747 0.253
O 0.747 0.253 0.747
O 0.253 0.747 0.253
Na 0.750 0.750 0.750
Na 0.250 0.250 0.250
Te 0.500 0.500 0.500
Tc 0.000 0.000 0.000

Computed properties:
Uncorrected energy   -58.41 eV for the cell shown

---

## Na2Zn2TeO6 (PBE-GGA)

Data for crystalline Na2Zn2TeO6 at its relaxed geometry.

a b c (Å): 5.267 5.267 11.328
angles (deg): 90.00 90.00 120.00
Positions (direct):
O 0.026 0.362 0.152
O 0.664 0.638 0.848
O 0.336 0.362 0.348
O 0.974 0.336 0.848
O 0.336 0.974 0.152
O 0.638 0.974 0.348
O 0.638 0.664 0.152
O 0.664 0.026 0.652
O 0.974 0.638 0.652
O 0.362 0.026 0.848
O 0.362 0.336 0.652
O 0.026 0.664 0.348
Na 0.667 0.333 0.012
Na 0.333 0.667 0.988
Na 0.333 0.667 0.512
Na 0.667 0.333 0.488
Te 0.333 0.667 0.250
Te 0.667 0.333 0.750
Zn 0.667 0.333 0.250
Zn 0.000 0.000 0.750
Zn 0.333 0.667 0.750
Zn 0.000 0.000 0.250

Computed properties:
Uncorrected energy   -106.41 eV for the cell shown

---

## Na2Zn2Te3O9 (PBE-GGA)

Data for crystalline Na2Zn2Te3O9 at its relaxed geometry.

a b c (Å): 7.632 7.632 8.917
angles (deg): 90.00 90.00 120.00
Positions (direct):
O 0.845 0.247 0.418
O 0.753 0.598 0.418
O 0.155 0.753 0.918
O 0.402 0.155 0.082
O 0.155 0.753 0.582
O 0.598 0.845 0.582
O 0.247 0.402 0.582
O 0.801 0.583 0.750
O 0.417 0.218 0.750
O 0.583 0.782 0.250
O 0.598 0.845 0.918
O 0.845 0.247 0.082
O 0.218 0.801 0.250
O 0.247 0.402 0.918
O 0.753 0.598 0.082
O 0.782 0.199 0.750
O 0.402 0.155 0.418
O 0.199 0.417 0.250
Na 0.000 0.000 0.377
Na 0.000 0.000 0.623
Na 0.000 0.000 0.877
Na 0.000 0.000 0.123
Te 0.043 0.569 0.750
Te 0.957 0.431 0.250
Te 0.526 0.957 0.750
Te 0.431 0.474 0.750
Te 0.569 0.526 0.250
Te 0.474 0.043 0.250
Zn 0.667 0.333 0.540
Zn 0.333 0.667 0.040
Zn 0.667 0.333 0.960
Zn 0.333 0.667 0.460

Computed properties:
Uncorrected energy   -147.76 eV for the cell shown

---

## Na2ZrTe2O (PBE-GGA)

Data for crystalline Na2ZrTe2O at its relaxed geometry.

a b c (Å): 7.028 7.028 7.489
angles (deg): 97.84 97.84 116.27
Positions (direct):
Na 0.661 0.339 0.000
Na 0.339 0.661 0.000
Na 0.000 0.000 0.000
Na 0.500 0.500 0.500
Te 0.929 0.567 0.731
Te 0.433 0.071 0.269
Te 0.567 0.929 0.731
Te 0.071 0.433 0.269
Zr 0.130 0.870 0.500
Zr 0.870 0.130 0.500
O 0.135 0.135 0.653
O 0.865 0.865 0.347

Computed properties:
Uncorrected energy   -61.63 eV for the cell shown

---

## NaTmO3 (PBE-GGA)

Data for crystalline NaTmO3 at its relaxed geometry.

a b c (Å): 4.235 4.235 4.391
angles (deg): 90.00 90.00 90.00
Positions (direct):
O 0.500 0.500 0.073
O 0.000 0.500 0.650
O 0.500 0.000 0.650
Na 0.000 0.000 0.955
Tm 0.500 0.500 0.572

Computed properties:
Uncorrected energy   -29.81 eV for the cell shown

---

## NaTmO2 (PBE-GGA)

Data for crystalline NaTmO2 at its relaxed geometry.

a b c (Å): 5.917 5.917 5.917
angles (deg): 134.80 134.80 65.84
Positions (direct):
O 0.525 0.025 0.500
O 0.975 0.475 0.500
O 0.775 0.775 0.000
O 0.225 0.225 0.000
Na 0.500 0.500 0.000
Na 0.250 0.750 0.500
Tm 0.000 0.000 0.000
Tm 0.750 0.250 0.500

Computed properties:
Uncorrected energy   -54.21 eV for the cell shown

---

## Na2Tm2O3 (PBE-GGA)

Data for crystalline Na2Tm2O3 at its relaxed geometry.

a b c (Å): 6.345 5.944 6.767
angles (deg): 90.00 120.17 90.00
Positions (direct):
O 0.000 0.000 0.500
O 0.308 0.440 0.775
O 0.000 0.500 0.000
O 0.692 0.940 0.725
O 0.692 0.560 0.225
O 0.308 0.060 0.275
Tm 0.642 0.861 0.382
Tm 0.358 0.139 0.618
Tm 0.642 0.639 0.882
Tm 0.358 0.361 0.118
Na 0.116 0.851 0.885
Na 0.116 0.649 0.385
Na 0.884 0.351 0.615
Na 0.884 0.149 0.115

Computed properties:
Uncorrected energy   -84.58 eV for the cell shown

---

## NaTmO3 (PBE-GGA)

Data for crystalline NaTmO3 at its relaxed geometry.

a b c (Å): 5.838 5.838 5.945
angles (deg): 60.59 60.59 60.00
Positions (direct):
O 0.968 0.540 0.268
O 0.032 0.460 0.732
O 0.224 0.968 0.268
O 0.540 0.224 0.268
O 0.460 0.776 0.732
O 0.776 0.032 0.732
Na 0.366 0.366 0.901
Na 0.634 0.634 0.099
Tm 0.854 0.854 0.438
Tm 0.146 0.146 0.562

Computed properties:
Uncorrected energy   -59.64 eV for the cell shown

---

Please write out number 2 again, unchanged.
## Na2Zn2TeO6 (PBE-GGA)

Data for crystalline Na2Zn2TeO6 at its relaxed geometry.

a b c (Å): 5.267 5.267 11.328
angles (deg): 90.00 90.00 120.00
Positions (direct):
O 0.026 0.362 0.152
O 0.664 0.638 0.848
O 0.336 0.362 0.348
O 0.974 0.336 0.848
O 0.336 0.974 0.152
O 0.638 0.974 0.348
O 0.638 0.664 0.152
O 0.664 0.026 0.652
O 0.974 0.638 0.652
O 0.362 0.026 0.848
O 0.362 0.336 0.652
O 0.026 0.664 0.348
Na 0.667 0.333 0.012
Na 0.333 0.667 0.988
Na 0.333 0.667 0.512
Na 0.667 0.333 0.488
Te 0.333 0.667 0.250
Te 0.667 0.333 0.750
Zn 0.667 0.333 0.250
Zn 0.000 0.000 0.750
Zn 0.333 0.667 0.750
Zn 0.000 0.000 0.250

Computed properties:
Uncorrected energy   -106.41 eV for the cell shown